# Cu6SnWSe8, optimized geometry, DFT PBE
data_Cu6SnWSe8
_chemical_formula_sum 'Cu6 Sn1 W1 Se8'
_space_group_name_H-M_alt 'P 1'
_space_group_IT_number 1
_cell_length_a 8.029
_cell_length_b 8.029
_cell_length_c 8.029
_cell_angle_alpha 60.00
_cell_angle_beta 60.00
_cell_angle_gamma 60.00
loop_
_space_group_symop_operation_xyz
'x,y,z'
loop_
_atom_site_label
_atom_site_fract_x
_atom_site_fract_y
_atom_site_fract_z
Cu1 0.498 0.002 0.002
Cu2 0.498 0.498 0.002
Cu3 0.002 0.498 0.002
Cu4 0.002 0.002 0.498
Cu5 0.498 0.002 0.498
Cu6 0.002 0.498 0.498
Se1 0.632 0.632 0.104
Se2 0.619 0.127 0.127
Se3 0.127 0.127 0.127
Se4 0.127 0.619 0.127
Se5 0.127 0.127 0.619
Se6 0.632 0.104 0.632
Se7 0.632 0.632 0.632
Se8 0.104 0.632 0.632
Sn1 0.500 0.500 0.500
W1 0.250 0.250 0.250
# E_tot = -4.511 eV/atom
# Mass density = 5.97 g/cm³